No. 1
{
  "formula": "Y5ScIn3",
  "functional": "PBE",
  "state": "relaxed",
  "lattice": [[6.6633, 0.0000, 0.0000], [0.0000, 9.2931, 0.0000], [0.0000, -4.6466, 8.0475]],
  "species": ["Y", "Y", "Y", "Y", "Y", "Y", "Y", "Y", "Y", "Y", "Sc", "Sc", "In", "In", "In", "In", "In", "In"],
  "fractional_positions": [[0.2500, 0.3215, 0.3215], [0.0000, 0.3333, 0.6667], [0.5000, 0.3333, 0.6667], [0.2500, 0.6785, 0.0000], [0.7500, 0.3215, 0.0000], [0.5000, 0.6667, 0.3333], [0.7500, 0.6785, 0.6785], [0.2500, 0.0000, 0.6785], [0.0000, 0.6667, 0.3333], [0.7500, 0.0000, 0.3215], [0.5000, 0.0000, 0.0000], [0.0000, 0.0000, 0.0000], [0.2500, 0.6596, 0.6596], [0.7500, 0.0000, 0.6596], [0.2500, 0.3404, 0.0000], [0.2500, 0.0000, 0.3404], [0.7500, 0.6596, 0.0000], [0.7500, 0.3404, 0.3404]],
  "energy_ev_per_atom": -5.585,
  "dos_at_fermi_per_ev_atom": 1.178,
  "vol_a3_per_atom": 27.685,
  "spacegroup": "No. 193"
}

No. 2
{
  "formula": "KSn2",
  "functional": "PBE",
  "state": "relaxed",
  "lattice": [[-3.6594, 1.8139, 5.1533], [-1.6971, -5.2719, -3.5448], [5.7015, -5.9710, 6.1504]],
  "species": ["K", "K", "K", "K", "Sn", "Sn", "Sn", "Sn", "Sn", "Sn", "Sn", "Sn"],
  "fractional_positions": [[0.6667, 0.3333, 0.9335], [0.3333, 0.6667, 0.4335], [0.6667, 0.3333, 0.5665], [0.3333, 0.6667, 0.0665], [0.1683, 0.3367, 0.7500], [0.1683, 0.8317, 0.7500], [0.3367, 0.1683, 0.2500], [0.6633, 0.8317, 0.7500], [0.0000, 0.0000, 0.0000], [0.8317, 0.1683, 0.2500], [0.8317, 0.6633, 0.2500], [0.0000, 0.0000, 0.5000]],
  "energy_ev_per_atom": -3.232,
  "dos_at_fermi_per_ev_atom": 0.823,
  "vol_a3_per_atom": 32.125,
  "spacegroup": "No. 194"
}

No. 3
{
  "formula": "Pm5Pr4Mg",
  "functional": "PBE",
  "state": "relaxed",
  "lattice": [[-4.0515, 3.3922, 2.8258], [-0.0080, -1.4621, 8.0970], [3.2475, 7.1669, 2.4060]],
  "species": ["Pm", "Pm", "Pm", "Pm", "Pm", "Pr", "Pr", "Pr", "Pr", "Mg"],
  "fractional_positions": [[0.7663, 0.0000, 0.3706], [0.1369, 0.0000, 0.6294], [0.1369, 0.6294, 0.0000], [0.6598, 0.0000, 0.0000], [0.7664, 0.3706, 0.0000], [0.1477, 0.3173, 0.3174], [0.7824, 0.6827, 0.6826], [0.4651, 0.6826, 0.3173], [0.4650, 0.3174, 0.6827], [0.1838, 0.0000, 0.0000]],
  "energy_ev_per_atom": -4.287,
  "dos_at_fermi_per_ev_atom": 1.192,
  "vol_a3_per_atom": 35.188,
  "spacegroup": "No. 107"
}

No. 4
{
  "formula": "BaFe2Si",
  "functional": "PBE",
  "state": "relaxed",
  "lattice": [[5.8381, -0.0107, 0.0220], [2.3480, 5.3451, -0.0220], [-3.1491, -4.1158, 2.6884]],
  "species": ["Ba", "Fe", "Fe", "Si"],
  "fractional_positions": [[0.2576, 0.7576, 0.5000], [0.9384, 0.9384, 0.0000], [0.7480, 0.2480, 0.5000], [0.5560, 0.5560, 0.0000]],
  "energy_ev_per_atom": -5.426,
  "dos_at_fermi_per_ev_atom": 1.194,
  "vol_a3_per_atom": 20.897,
  "spacegroup": "No. 44"
}

No. 5
{
  "formula": "CeNd2Zn2Ge2",
  "functional": "PBE",
  "state": "relaxed",
  "lattice": [[-1.1406, 2.0728, 3.4647], [-0.4265, -2.0580, 3.6309], [10.5255, 2.0128, 4.8011]],
  "species": ["Zn", "Zn", "Nd", "Nd", "Ge", "Ge", "Ce"],
  "fractional_positions": [[0.3914, 0.3914, 0.8258], [0.6086, 0.6086, 0.1742], [0.8773, 0.8773, 0.3680], [0.1227, 0.1227, 0.6320], [0.7293, 0.7293, 0.8121], [0.2707, 0.2707, 0.1879], [0.0000, 0.0000, 0.0000]],
  "energy_ev_per_atom": -4.345,
  "dos_at_fermi_per_ev_atom": 1.318,
  "vol_a3_per_atom": 25.021,
  "spacegroup": "No. 166"
}

No. 6
{
  "formula": "Pr5Tl6Cd",
  "functional": "PBE",
  "state": "relaxed",
  "lattice": [[-2.1485, 2.9967, -3.8914], [0.3374, -6.2689, -5.0140], [-6.7285, -0.7346, 6.9032]],
  "species": ["Tl", "Tl", "Tl", "Tl", "Tl", "Tl", "Pr", "Pr", "Pr", "Pr", "Pr", "Cd"],
  "fractional_positions": [[0.1686, 0.4244, 0.3348], [0.8314, 0.0895, 0.6652], [0.5000, 0.7276, 0.0000], [0.8314, 0.5756, 0.6652], [0.5000, 0.2724, 0.0000], [0.1686, 0.9105, 0.3348], [0.3595, 0.8601, 0.7202], [0.3208, 0.3220, 0.6441], [0.6405, 0.1399, 0.2798], [0.0000, 0.5000, 0.0000], [0.6792, 0.6780, 0.3559], [0.0000, 0.0000, 0.0000]],
  "energy_ev_per_atom": -3.585,
  "dos_at_fermi_per_ev_atom": 0.738,
  "vol_a3_per_atom": 30.009,
  "spacegroup": "No. 12"
}

No. 7
{
  "formula": "Y2Be3GaAu4",
  "functional": "PBE",
  "state": "relaxed",
  "lattice": [[4.2992, 0.0000, 0.0000], [0.0000, 4.2992, 0.0000], [0.0000, 0.0000, 9.4464]],
  "species": ["Au", "Au", "Au", "Au", "Be", "Be", "Be", "Ga", "Y", "Y"],
  "fractional_positions": [[0.0000, 0.5000, 0.3557], [0.5000, 0.5000, 0.0000], [0.5000, 0.0000, 0.6443], [0.0000, 0.0000, 0.0000], [0.5000, 0.0000, 0.8883], [0.0000, 0.0000, 0.5000], [0.0000, 0.5000, 0.1117], [0.5000, 0.5000, 0.5000], [0.0000, 0.5000, 0.7484], [0.5000, 0.0000, 0.2516]],
  "energy_ev_per_atom": -4.532,
  "dos_at_fermi_per_ev_atom": 0.246,
  "vol_a3_per_atom": 17.460,
  "spacegroup": "No. 115"
}

No. 8
{
  "formula": "Al2Cu2Sn",
  "functional": "PBE",
  "state": "relaxed",
  "lattice": [[7.6460, 0.0000, 0.0000], [0.0000, 7.6460, 0.0000], [0.0000, 0.0000, 2.8117]],
  "species": ["Cu", "Cu", "Cu", "Cu", "Al", "Al", "Al", "Al", "Sn", "Sn"],
  "fractional_positions": [[0.6643, 0.1643, 0.0000], [0.8357, 0.6643, 0.0000], [0.3357, 0.8357, 0.0000], [0.1643, 0.3357, 0.0000], [0.1300, 0.6300, 0.5000], [0.3700, 0.1300, 0.5000], [0.6300, 0.8700, 0.5000], [0.8700, 0.3700, 0.5000], [0.5000, 0.5000, 0.0000], [0.0000, 0.0000, 0.0000]],
  "energy_ev_per_atom": -3.921,
  "dos_at_fermi_per_ev_atom": 0.363,
  "vol_a3_per_atom": 16.438,
  "spacegroup": "No. 127"
}